Entry 1:
Compound: KCaSc2
Source: Alexandria
Functional: SCAN
Structure: PBEsol geometry

a b c (Å): 3.597 6.022 6.022
angles (deg): 90.00 90.00 90.00
Element x y z (fractional)
Ca 0.500 0.500 0.500
K 0.500 0.000 0.000
Sc 0.000 0.000 0.500
Sc 0.000 0.500 0.000

Calculated values
* E: -10.928 eV per atom
* energy above the lowest structure with this stoichiometry: 404 meV per atom
* energy of formation: 0.688 eV/atom
* space-group type: No. 123

Entry 2:
Compound: KCa2Sc
Source: Alexandria
Functional: SCAN
Structure: PBEsol geometry

a b c (Å): 5.227 5.227 6.725
angles (deg): 112.87 112.87 90.00
Element x y z (fractional)
Ca 0.000 0.000 0.000
Ca 0.750 0.250 0.500
K 0.500 0.500 0.000
Sc 0.250 0.750 0.500

Calculated values
* E: -9.992 eV per atom
* energy of formation: 0.481 eV/atom
* space-group type: No. 119

Entry 3:
Compound: KCaSc2
Source: Alexandria
Functional: SCAN
Structure: PBEsol geometry

a b c (Å): 3.363 6.642 6.642
angles (deg): 118.05 90.00 90.00
Element x y z (fractional)
Ca 0.500 0.000 0.000
K 0.500 0.500 0.500
Sc 0.000 0.500 0.000
Sc 0.000 0.000 0.500

Calculated values
* E: -11.010 eV per atom
* energy above the lowest structure with this stoichiometry: 322 meV per atom
* energy of formation: 0.607 eV/atom
* space-group type: No. 65

Entry 4:
Compound: KCa2Se
Source: Alexandria
Functional: SCAN
Structure: PBEsol geometry

a b c (Å): 4.061 4.061 11.044
angles (deg): 79.41 79.41 60.00
Element x y z (fractional)
Ca 0.280 0.280 0.161
Ca 0.720 0.720 0.839
K 0.500 0.500 0.500
Se 0.000 0.000 0.000

Calculated values
* E: -12.897 eV per atom
* space-group type: No. 166

Entry 5:
Compound: KCaSe2
Source: Alexandria
Functional: SCAN
Structure: PBEsol geometry

a b c (Å): 3.885 5.062 5.062
angles (deg): 99.83 90.00 90.00
Element x y z (fractional)
Ca 0.500 0.000 0.000
K 0.500 0.500 0.500
Se 0.000 0.500 0.000
Se 0.000 0.000 0.500

Calculated values
* E: -15.895 eV per atom
* space-group type: No. 65

Entry 6:
Compound: KCa2Se
Source: Alexandria
Functional: SCAN
Structure: PBEsol geometry

a b c (Å): 4.648 4.648 6.795
angles (deg): 110.00 110.00 90.00
Element x y z (fractional)
Ca 0.000 0.000 0.000
Ca 0.750 0.250 0.500
K 0.500 0.500 0.000
Se 0.250 0.750 0.500

Calculated values
* E: -12.386 eV per atom
* space-group type: No. 119

Entry 7:
Compound: KCa4Se
Source: Alexandria
Functional: SCAN
Structure: PBEsol geometry

a b c (Å): 6.981 6.981 6.981
angles (deg): 60.00 60.00 60.00
Element x y z (fractional)
Ca 0.374 0.374 0.374
Ca 0.374 0.374 0.877
Ca 0.877 0.374 0.374
Ca 0.374 0.877 0.374
K 0.750 0.750 0.750
Se 0.000 0.000 0.000

Calculated values
* E: -11.026 eV per atom
* space-group type: No. 216

Entry 8:
Compound: KCaSe2
Source: Alexandria
Functional: SCAN
Structure: PBEsol geometry

a b c (Å): 5.043 5.290 5.062
angles (deg): 118.59 90.00 118.47
Element x y z (fractional)
Ca 0.500 0.000 0.000
K 0.000 0.000 0.500
Se 0.750 0.501 0.750
Se 0.250 0.499 0.250

Calculated values
* E: -15.863 eV per atom
* space-group type: No. 71